# MnIrOs2

A relaxed structure of MnIrOs2 (PBE, Alexandria).

Cell lengths 4.654, 4.654, 4.654 Å; angles 131.64, 131.64, 70.80 degrees
Fractional coordinates of all 4 atoms:
Ir1 0.500 0.500 0.000
Mn1 0.750 0.250 0.500
Os1 0.000 0.000 0.000
Os2 0.250 0.750 0.500

Values from the calculation:
E in eV/atom: -10.119
Energy above the most stable polymorph in this dataset in eV per atom: 0.007
Calculated density in Mg/m³: 18.9

# BiPd4Pt5

A relaxed structure of BiPd4Pt5 (PBE, Alexandria).

Cell lengths 4.710, 6.299, 6.299 Å; angles 82.71, 81.05, 81.05 degrees
Fractional coordinates of all 10 atoms:
Bi1 0.250 0.000 0.000
Pd1 0.250 0.328 0.672
Pd2 0.507 0.244 0.244
Pd3 0.993 0.756 0.756
Pd4 0.250 0.672 0.328
Pt1 0.509 0.566 0.909
Pt2 0.991 0.091 0.434
Pt3 0.750 0.500 0.500
Pt4 0.509 0.909 0.566
Pt5 0.991 0.434 0.091

Values from the calculation:
E in eV/atom: -5.492
Calculated density in Mg/m³: 14.7

# Rb2NpTaS6

A relaxed structure of Rb2NpTaS6 (PBE, Alexandria).

Cell lengths 7.246, 7.246, 12.735 Å; angles 73.47, 73.47, 60.00 degrees
Fractional coordinates of all 20 atoms:
Rb1 0.873 0.873 0.381
Rb2 0.127 0.127 0.619
Rb3 0.711 0.711 0.868
Rb4 0.289 0.289 0.132
Np1 0.589 0.589 0.233
Np2 0.411 0.411 0.767
Ta1 0.000 0.000 0.000
Ta2 0.500 0.500 0.500
S1 0.853 0.386 0.376
S2 0.386 0.853 0.376
S3 0.386 0.386 0.376
S4 0.147 0.614 0.624
S5 0.614 0.147 0.624
S6 0.614 0.614 0.624
S7 0.720 0.199 0.883
S8 0.199 0.720 0.883
S9 0.199 0.199 0.883
S10 0.280 0.801 0.117
S11 0.801 0.280 0.117
S12 0.801 0.801 0.117

Values from the calculation:
E in eV/atom: -6.287
Calculated density in Mg/m³: 4.7
Raw formation energy in meV per atom: -1138

# PuPa3Pd2

A relaxed structure of PuPa3Pd2 (PBE, Alexandria).

Cell lengths 5.946, 7.836, 6.791 Å; angles 75.78, 89.46, 61.07 degrees
Fractional coordinates of all 12 atoms:
Pu1 0.069 0.060 0.177
Pu2 0.931 0.940 0.823
Pa1 0.329 0.970 0.717
Pa2 0.671 0.030 0.283
Pa3 0.773 0.372 0.874
Pa4 0.043 0.677 0.631
Pa5 0.957 0.323 0.369
Pa6 0.227 0.628 0.126
Pd1 0.452 0.329 0.525
Pd2 0.321 0.289 0.930
Pd3 0.679 0.711 0.070
Pd4 0.548 0.671 0.475

Values from the calculation:
E in eV/atom: -9.175
Calculated density in Mg/m³: 14.3

# MoIr3

A relaxed structure of MoIr3 (PBE, Alexandria).

Cell lengths 4.968, 4.968, 4.968 Å; angles 90.00, 90.00, 90.00 degrees
Fractional coordinates of all 8 atoms:
Mo1 0.000 0.000 0.000
Mo2 0.500 0.500 0.500
Ir1 0.000 0.250 0.500
Ir2 0.000 0.750 0.500
Ir3 0.250 0.500 0.000
Ir4 0.500 0.000 0.250
Ir5 0.500 0.000 0.750
Ir6 0.750 0.500 0.000

Values from the calculation:
E in eV/atom: -9.177
Energy above the most stable polymorph in this dataset in eV per atom: 0.512
Calculated density in Mg/m³: 18.2

# Ca3AlH

A relaxed structure of Ca3AlH (PBE, Alexandria).

Cell lengths 4.930, 4.930, 4.930 Å; angles 90.00, 90.00, 90.00 degrees
Fractional coordinates of all 5 atoms:
H1 0.000 0.000 0.000
Ca1 0.000 0.500 0.000
Ca2 0.000 0.000 0.500
Ca3 0.500 0.000 0.000
Al1 0.500 0.500 0.500

Values from the calculation:
E in eV/atom: -2.847
Energy above the most stable polymorph in this dataset in eV per atom: 0.000
Calculated density in Mg/m³: 2.1

DOS(E_F)? In order: 0.873 1.018 0.427 1.653 1.669 0.572 states/eV/atom.